# 1
This record from the Alexandria database describes a relaxed Sc5Cd4Os crystal. The functional is GGA-PBE.

Cell and atoms, written as CIF:
```
data_Sc5Cd4Os
_chemical_formula_sum 'Sc5 Cd4 Os1'
_space_group_name_H-M_alt 'P 4/m m m'
_space_group_IT_number 123
_space_group_name_Hall '-P 4 2'
_cell_length_a 3.385
_cell_length_b 3.385
_cell_length_c 18.190
_cell_angle_alpha 90.00
_cell_angle_beta 90.00
_cell_angle_gamma 90.00
loop_
_atom_site_label
_atom_site_type_symbol
_atom_site_fract_x
_atom_site_fract_y
_atom_site_fract_z
Sc1 Sc 0.000 0.000 0.000
Sc2 Sc 0.000 0.000 0.207
Sc3 Sc 0.000 0.000 0.418
Cd1 Cd 0.500 0.500 0.103
Cd2 Cd 0.500 0.500 0.310
Os1 Os 0.500 0.500 0.500
```

***

# 2
This record from the Alexandria database describes a relaxed ThScCdOs crystal. The functional is GGA-PBE.

Cell and atoms, written as CIF:
```
data_ThScCdOs
_chemical_formula_sum 'Th4 Sc4 Cd4 Os4'
_space_group_name_H-M_alt 'F -4 3 m'
_space_group_IT_number 216
_space_group_name_Hall 'F -4 2 3'
_cell_length_a 7.100
_cell_length_b 7.100
_cell_length_c 7.100
_cell_angle_alpha 90.00
_cell_angle_beta 90.00
_cell_angle_gamma 90.00
loop_
_atom_site_label
_atom_site_type_symbol
_atom_site_fract_x
_atom_site_fract_y
_atom_site_fract_z
Th1 Th 0.000 0.000 0.000
Sc1 Sc 0.000 0.000 0.500
Cd1 Cd 0.250 0.250 0.750
Os1 Os 0.250 0.250 0.250
```

***

# 3
This record from the Alexandria database describes a relaxed ScTl2CdOs crystal. The functional is GGA-PBE.

Cell and atoms, written as CIF:
```
data_ScTl2CdOs
_chemical_formula_sum 'Sc1 Tl2 Cd1 Os1'
_space_group_name_H-M_alt 'P 4/m m m'
_space_group_IT_number 123
_space_group_name_Hall '-P 4 2'
_cell_length_a 5.207
_cell_length_b 5.207
_cell_length_c 5.179
_cell_angle_alpha 90.00
_cell_angle_beta 90.00
_cell_angle_gamma 90.00
loop_
_atom_site_label
_atom_site_type_symbol
_atom_site_fract_x
_atom_site_fract_y
_atom_site_fract_z
Sc1 Sc 0.000 0.000 0.000
Tl1 Tl 0.000 0.500 0.500
Cd1 Cd 0.500 0.500 0.000
Os1 Os 0.500 0.500 0.500
```

***

# 4
This record from the Alexandria database describes a relaxed Sc2TlCdOs crystal. The functional is GGA-PBE.

Cell and atoms, written as CIF:
```
data_Sc2TlCdOs
_chemical_formula_sum 'Sc2 Tl1 Cd1 Os1'
_space_group_name_H-M_alt 'P 4/m m m'
_space_group_IT_number 123
_space_group_name_Hall '-P 4 2'
_cell_length_a 5.211
_cell_length_b 5.211
_cell_length_c 5.004
_cell_angle_alpha 90.00
_cell_angle_beta 90.00
_cell_angle_gamma 90.00
loop_
_atom_site_label
_atom_site_type_symbol
_atom_site_fract_x
_atom_site_fract_y
_atom_site_fract_z
Sc1 Sc 0.000 0.500 0.000
Tl1 Tl 0.000 0.000 0.500
Cd1 Cd 0.000 0.000 0.000
Os1 Os 0.500 0.500 0.500
```

***

# 5
# YScCdOs (GGA-PBE, optimized geometry)
# Relative energy among the computed polymorphs = 0 meV per atom
data_YScCdOs
_chemical_formula_sum 'Y1 Sc1 Cd1 Os1'
_space_group_name_H-M_alt 'P 4 m m'
_space_group_IT_number 99
_cell_length_a 3.370
_cell_length_b 3.370
_cell_length_c 7.502
_cell_angle_alpha 90.00
_cell_angle_beta 90.00
_cell_angle_gamma 90.00
loop_
_space_group_symop_operation_xyz
'x,y,z'
'-y,x,z'
'-x,-y,z'
'y,-x,z'
'-x,y,z'
'y,x,z'
'x,-y,z'
'-y,-x,z'
loop_
_atom_site_label
_atom_site_type_symbol
_atom_site_fract_x
_atom_site_fract_y
_atom_site_fract_z
Y1 Y 0.000 0.000 0.000
Sc1 Sc 0.000 0.000 0.574
Cd1 Cd 0.500 0.500 0.310
Os1 Os 0.500 0.500 0.766

***

# 6
# YScCdOs (GGA-PBE, optimized geometry)
# Relative energy among the computed polymorphs = 124 meV per atom
data_YScCdOs
_chemical_formula_sum 'Y4 Sc4 Cd4 Os4'
_space_group_name_H-M_alt 'F -4 3 m'
_space_group_IT_number 216
_space_group_name_Hall 'F -4 2 3'
_cell_length_a 6.914
_cell_length_b 6.914
_cell_length_c 6.914
_cell_angle_alpha 90.00
_cell_angle_beta 90.00
_cell_angle_gamma 90.00
loop_
_atom_site_label
_atom_site_type_symbol
_atom_site_fract_x
_atom_site_fract_y
_atom_site_fract_z
Y1 Y 0.000 0.000 0.000
Sc1 Sc 0.000 0.000 0.500
Cd1 Cd 0.250 0.250 0.250
Os1 Os 0.250 0.250 0.750

***

# 7
# CdOsSe2 (GGA-PBE, optimized geometry)
# E_form (uncorrected) = 0.073 eV/atom
data_CdOsSe2
_chemical_formula_sum 'Cd3 Os3 Se6'
_space_group_name_H-M_alt 'R -3 m'
_space_group_IT_number 166
_space_group_name_Hall '-R 3 2"'
_cell_length_a 3.7696
_cell_length_b 3.7696
_cell_length_c 23.8676
_cell_angle_alpha 90.00
_cell_angle_beta 90.00
_cell_angle_gamma 120.00
loop_
_atom_site_label
_atom_site_type_symbol
_atom_site_fract_x
_atom_site_fract_y
_atom_site_fract_z
Cd1 Cd 0.0000 0.0000 0.0000
Os1 Os 0.0000 0.0000 0.5000
Se1 Se 0.0000 0.0000 0.1147

***

# 8
# CdOs3Se (GGA-PBE, optimized geometry)
# E_form (uncorrected) = 1.611 eV/atom
# Relative energy among the computed polymorphs = 0 meV per atom
data_CdOs3Se
_chemical_formula_sum 'Cd1 Os3 Se1'
_space_group_name_H-M_alt 'P m -3 m'
_space_group_IT_number 221
_space_group_name_Hall '-P 4 2 3'
_cell_length_a 4.558
_cell_length_b 4.558
_cell_length_c 4.558
_cell_angle_alpha 90.00
_cell_angle_beta 90.00
_cell_angle_gamma 90.00
loop_
_atom_site_label
_atom_site_type_symbol
_atom_site_fract_x
_atom_site_fract_y
_atom_site_fract_z
Cd1 Cd 0.000 0.000 0.000
Os1 Os 0.000 0.500 0.500
Se1 Se 0.500 0.500 0.500

***

# 9
# CdOsSe2 (GGA-PBE, optimized geometry)
# E_form (uncorrected) = 0.129 eV/atom
data_CdOsSe2
_chemical_formula_sum 'Cd1 Os1 Se2'
_space_group_name_H-M_alt 'P 1 m 1'
_space_group_IT_number 6
_cell_length_a 4.478
_cell_length_b 3.697
_cell_length_c 6.034
_cell_angle_alpha 90.00
_cell_angle_beta 111.74
_cell_angle_gamma 90.00
loop_
_space_group_symop_operation_xyz
'x,y,z'
'x,-y,z'
loop_
_atom_site_label
_atom_site_type_symbol
_atom_site_fract_x
_atom_site_fract_y
_atom_site_fract_z
Cd1 Cd 0.000 0.000 0.000
Os1 Os 0.794 0.500 0.590
Se1 Se 0.373 0.500 0.748
Se2 Se 0.657 0.000 0.315

***

# 10
# CdOsSe (GGA-PBE, optimized geometry)
# E_form (uncorrected) = 0.327 eV/atom
# Relative energy among the computed polymorphs = 21 meV per atom
data_CdOsSe
_chemical_formula_sum 'Cd1 Os1 Se1'
_space_group_name_H-M_alt 'P 3 m 1'
_space_group_IT_number 156
_cell_length_a 3.1227
_cell_length_b 3.1227
_cell_length_c 6.6768
_cell_angle_alpha 90.00
_cell_angle_beta 90.00
_cell_angle_gamma 120.00
loop_
_space_group_symop_operation_xyz
'x,y,z'
'-y,x-y,z'
'-x+y,-x,z'
'-y,-x,z'
'-x+y,y,z'
'x,x-y,z'
loop_
_atom_site_label
_atom_site_type_symbol
_atom_site_fract_x
_atom_site_fract_y
_atom_site_fract_z
Cd1 Cd 0.0000 0.0000 0.0000
Os1 Os 0.6667 0.3333 0.3385
Se1 Se 0.3333 0.6667 0.5911

***

# 11
# CdOsSe (GGA-PBE, optimized geometry)
# E_form (uncorrected) = 0.305 eV/atom
# Relative energy among the computed polymorphs = 0 meV per atom
data_CdOsSe
_chemical_formula_sum 'Cd2 Os2 Se2'
_space_group_name_H-M_alt 'I 4 m m'
_space_group_IT_number 107
_space_group_name_Hall 'I 4 -2'
_cell_length_a 3.025
_cell_length_b 3.025
_cell_length_c 12.889
_cell_angle_alpha 90.00
_cell_angle_beta 90.00
_cell_angle_gamma 90.00
loop_
_atom_site_label
_atom_site_type_symbol
_atom_site_fract_x
_atom_site_fract_y
_atom_site_fract_z
Cd1 Cd 0.000 0.000 0.000
Os1 Os 0.000 0.000 0.663
Se1 Se 0.000 0.000 0.266

***

# 12
# CdOs2Se (GGA-PBE, optimized geometry)
# E_form (uncorrected) = 0.796 eV/atom
# Relative energy among the computed polymorphs = 485 meV per atom
data_CdOs2Se
_chemical_formula_sum 'Cd2 Os4 Se2'
_space_group_name_H-M_alt 'I m m m'
_space_group_IT_number 71
_space_group_name_Hall '-I 2 2'
_cell_length_a 2.943
_cell_length_b 4.754
_cell_length_c 9.485
_cell_angle_alpha 90.00
_cell_angle_beta 90.00
_cell_angle_gamma 90.00
loop_
_atom_site_label
_atom_site_type_symbol
_atom_site_fract_x
_atom_site_fract_y
_atom_site_fract_z
Cd1 Cd 0.000 0.000 0.000
Os1 Os 0.000 0.500 0.223
Se1 Se 0.000 0.000 0.500

***

| no. | E_tot (eV per formula unit) | DOS at the Fermi energy (states/eV per cell) |
| --- | --- | --- |
| 1 | -50.0 | 8.36 |
| 2 | -26.4 | 9.87 |
| 3 | -19.6 | 8.72 |
| 4 | -20.1 | 4.56 |
| 5 | -26.4 | 3.03 |
| 6 | -25.9 | 14.08 |
| 7 | -18.8 | 5.02 |
| 8 | -30.0 | 5.48 |
| 9 | -18.6 | 2.61 |
| 10 | -14.6 | 1.90 |
| 11 | -14.7 | 2.77 |
| 12 | -23.7 | 5.18 |